HfZr3O | GGA-PBE | optimized geometry

The value obtained for the theoretical density is 8.23 g cm⁻³. The value obtained for the formation energy without anion corrections is -1075 meV per atom. The calculation puts the magnetic moment at 0.0 μB per cell. The calculation puts the density of states at the Fermi level at 4.19 states/eV/f.u. Its energy above the most stable polymorph in this dataset is 0 meV per atom.

```
5
Lattice="4.5543 0.0000 0.0000 0.0000 4.5543 0.0000 0.0000 0.0000 4.5543" Properties=species:S:1:pos:R:3 pbc="T T T"
Hf 0.0000 0.0000 0.0000
Zr 0.0000 2.2772 2.2772
Zr 2.2772 0.0000 2.2772
Zr 2.2772 2.2772 0.0000
O 2.2772 2.2772 2.2772
```